P | Computed, not measured: crystalline Mg3Mo at its relaxed geometry at the PBE level of DFT.

Cell: 5.2452 5.2452 12.2440 Å, 150.52 150.52 32.19°
With the nearest neighbours (Å) after each atom.
Positions (direct):
1 Mg 0.0236 0.0236 0.7694  9 Mg 2.85-3.18, 3 Mo 2.93-3.04
2 Mg 0.0000 0.0000 0.5000  8 Mg 2.91-3.08, 4 Mo 3.01
3 Mg 0.9764 0.9764 0.2306  9 Mg 2.85-3.18, 3 Mo 2.93-3.04
4 Mo 0.0000 0.0000 0.0000  2 Mo 2.91, 10 Mg 2.93-3.04

Results
Space group ... C2/m (12)



Q | Computed, not measured: crystalline Mg3Mo at its relaxed geometry at the PBE level of DFT.

Cell: 2.8707 2.8707 9.5951 Å, 90.00 90.00 103.45°
With the nearest neighbours (Å) after each atom.
Positions (direct):
1 Mo 0.0000 0.0000 0.0000  8 Mg 2.83-3.15, 4 Mo 2.87
2 Mg 0.5000 0.5000 0.2296  4 Mo 2.83-3.15, 6 Mg 2.87-3.15
3 Mg 0.5000 0.5000 0.7704  4 Mo 2.83-3.15, 6 Mg 2.87-3.15
4 Mg 0.0000 0.0000 0.5000  8 Mg 2.87-3.15

Results
Space group ... Cmmm (65)



In order of decreasing stability: Q, P.



P | Computed, not measured: crystalline MoPb2 at its relaxed geometry at the PBE level of DFT.

Cell: 3.3973 3.3973 6.5297 Å, 90.00 90.00 90.00°
With the nearest neighbours (Å) after each atom.
Positions (direct):
1 Pb 0.5000 0.5000 0.2372  4 Mo 2.95, 1 Pb 3.10
2 Pb 0.5000 0.5000 0.7628  4 Mo 2.95, 1 Pb 3.10
3 Mo 0.0000 0.0000 0.5000  8 Pb 2.95

Results
Space group ... P4/mmm (123)



Q | Computed, not measured: crystalline MoPb2 at its relaxed geometry at the PBE level of DFT.

Cell: 6.3336 6.3336 8.0674 Å, 75.91 75.91 30.56°
With the nearest neighbours (Å) after each atom.
Positions (direct):
1 Pb 0.6223 0.6223 0.7582  7 Pb 3.34-3.73, 2 Mo 3.50
2 Pb 0.9323 0.9323 0.5257  3 Mo 3.01-3.19, 2 Pb 3.34
3 Pb 0.6411 0.6411 0.2298  4 Mo 3.03, 2 Pb 3.34
4 Pb 0.3381 0.3381 0.9111  3 Mo 3.02-3.06, 3 Pb 3.34-3.38
5 Mo 0.3350 0.3350 0.2871  2 Mo 2.45
6 Mo 0.9644 0.9644 0.1214  2 Mo 2.45

Results
Space group ... Cm (8)



In order of decreasing stability: Q, P.



P | Computed, not measured: crystalline CuTc2Ag at its relaxed geometry at the PBE level of DFT.

Cell: 2.6809 4.2911 5.1902 Å, 90.00 90.00 90.00°
With the nearest neighbours (Å) after each atom.
Positions (direct):
1 Ag 0.5000 0.5000 0.2500  2 Cu 2.60, 2 Ag 2.68
2 Cu 0.5000 0.5000 0.7500  2 Ag 2.60, 2 Cu 2.68, 8 Tc 2.78
3 Tc 0.0000 0.0000 0.9709  1 Tc 2.29
4 Tc 0.0000 0.0000 0.5291  1 Tc 2.29

Results
Space group ... Pmmm (47)



Q | Computed, not measured: crystalline CuTc2Ag at its relaxed geometry at the PBE level of DFT.

Cell: 4.3674 4.3674 4.3674 Å, 60.00 60.00 60.00°
With the nearest neighbours (Å) after each atom.
Positions (direct):
1 Cu 0.0000 0.0000 0.0000  8 Tc 2.67
2 Tc 0.2500 0.2500 0.2500  4 Ag 2.67, 4 Cu 2.67
3 Tc 0.7500 0.7500 0.7500  4 Ag 2.67, 4 Cu 2.67
4 Ag 0.5000 0.5000 0.5000  8 Tc 2.67

Results
Space group ... Fm-3m (225)



In order of decreasing stability: P, Q.



P | Computed, not measured: crystalline MnCoW2 at its relaxed geometry at the PBE level of DFT.

Cell: 6.7641 6.7641 5.4378 Å, 51.54 51.54 90.00°
With the nearest neighbours (Å) after each atom.
Positions (direct):
1 W 0.8750 0.8940 0.7500  2 Co 2.39, 2 Mn 2.57, 2 W 2.60
2 W 0.1060 0.6250 0.2500  2 Co 2.39, 2 Mn 2.57, 2 W 2.60
3 W 0.3750 0.3560 0.7500  2 Co 2.39, 2 Mn 2.57, 2 W 2.60
4 W 0.6440 0.1250 0.2500  2 Co 2.39, 2 Mn 2.57, 2 W 2.60
5 Co 0.0000 0.0000 0.0000  4 W 2.39, 2 Mn 2.59
6 Co 0.7500 0.2500 0.5000  4 W 2.39, 2 Mn 2.59
7 Mn 0.2500 0.7500 0.5000  4 W 2.57, 2 Co 2.59
8 Mn 0.5000 0.5000 0.0000  4 W 2.57, 2 Co 2.59

Results
Space group ... I-42d (122)



Q | Computed, not measured: crystalline MnCoW2 at its relaxed geometry at the PBE level of DFT.

Cell: 8.9065 8.9065 8.9065 Å, 17.45 17.45 17.45°
With the nearest neighbours (Å) after each atom.
Positions (direct):
1 W 0.9987 0.9987 0.9987  3 Co 2.66, 6 W 2.70, 3 Mn 2.72
2 W 0.5013 0.5013 0.5013  3 Co 2.66, 6 W 2.70, 3 Mn 2.72
3 Mn 0.7500 0.7500 0.7500  6 Mn 2.70, 6 W 2.72
4 Co 0.2500 0.2500 0.2500  6 W 2.66, 6 Co 2.70

Results
Space group ... R-3m (166)



In order of decreasing stability: Q, P.



P | Computed, not measured: crystalline Zr2AlBr at its relaxed geometry at the PBE level of DFT.

Cell: 3.6474 3.6462 6.9303 Å, 90.00 90.00 90.00°
With the nearest neighbours (Å) after each atom.
Positions (direct):
1 Zr 0.0000 0.0000 0.9955  4 Br 2.86, 1 Al 3.01, 4 Zr 3.15
2 Zr 0.5000 0.5000 0.2568  4 Al 2.84, 1 Br 3.04, 4 Zr 3.15
3 Al 0.0000 0.0000 0.4296  5 Zr 2.84-3.01
4 Br 0.5000 0.5000 0.8180  5 Zr 2.86-3.04

Results
Space group ... P4mm (99)



Q | Computed, not measured: crystalline Zr2AlBr at its relaxed geometry at the PBE level of DFT.

Cell: 6.9187 6.9187 6.9187 Å, 152.63 144.20 45.64°
With the nearest neighbours (Å) after each atom.
Positions (direct):
1 Zr 0.8061 0.3061 0.5000  2 Al 2.84, 4 Br 2.94
2 Zr 0.0288 0.0288 0.0000  2 Br 2.85, 4 Al 2.85
3 Al 0.4535 0.4535 0.0000  6 Zr 2.84-2.85
4 Br 0.2116 0.7116 0.5000  6 Zr 2.85-2.94

Results
Space group ... Imm2 (44)



In order of decreasing stability: Q, P.



P | Computed, not measured: crystalline CuOF at its relaxed geometry at the PBE level of DFT.

Cell: 3.3644 3.3644 7.2733 Å, 108.40 102.56 81.22°
With the nearest neighbours (Å) after each atom.
Positions (direct):
1 F 0.7096 0.6722 0.3818  2 Cu 1.99-2.20
2 F 0.2904 0.3278 0.6182  2 Cu 1.99-2.20
3 O 0.8557 0.0871 0.9428  1 O 1.33
4 O 0.1443 0.9129 0.0572  1 O 1.33
5 Cu 0.8169 0.8580 0.6749  1 O 1.84, 1 F 1.99
6 Cu 0.1831 0.1420 0.3251  1 O 1.84, 1 F 1.99

Results
Space group ... C2/m (12)



Q | Computed, not measured: crystalline CuOF at its relaxed geometry at the PBE level of DFT.

Cell: 2.6347 2.6347 9.3698 Å, 90.00 90.00 90.00°
With the nearest neighbours (Å) after each atom.
Positions (direct):
1 O 0.7500 0.7500 0.3789  4 Cu 2.13, 1 F 2.28
2 O 0.2500 0.2500 0.6211  4 Cu 2.13, 1 F 2.28
3 F 0.2500 0.2500 0.8640  4 Cu 2.24, 1 O 2.28
4 F 0.7500 0.7500 0.1360  4 Cu 2.24, 1 O 2.28
5 Cu 0.2500 0.2500 0.2697  4 O 2.13, 4 F 2.24
6 Cu 0.7500 0.7500 0.7303  4 O 2.13, 4 F 2.24

Results
Space group ... P4/nmm (129)



In order of decreasing stability: P, Q.



P | Computed, not measured: crystalline B2C3 at its relaxed geometry at the PBE level of DFT.

Cell: 4.6046 4.6046 4.6046 Å, 99.18 99.18 132.91°
With the nearest neighbours (Å) after each atom.
Positions (direct):
1 C 0.3328 0.0500 0.9014  1 C 1.54, 3 B 1.63-1.67
2 C 0.1486 0.4314 0.0986  1 C 1.54, 3 B 1.63-1.67
3 C 0.0000 0.0000 0.0000  4 C 1.54
4 C 0.9500 0.8514 0.2828  1 C 1.54, 3 B 1.63-1.67
5 C 0.7500 0.2500 0.5000  4 B 1.62
6 C 0.5686 0.6672 0.7172  1 C 1.54, 3 B 1.63-1.67
7 B 0.8047 0.4017 0.2003  4 C 1.62-1.67
8 B 0.3956 0.1953 0.5970  4 C 1.62-1.67
9 B 0.5983 0.7986 0.4030  4 C 1.62-1.67
10 B 0.2014 0.6044 0.7997  4 C 1.62-1.67

Results
Space group ... I-4 (82)



Q | Computed, not measured: crystalline B2C3 at its relaxed geometry at the PBE level of DFT.

Cell: 11.5077 11.5077 11.5077 Å, 12.80 12.80 12.80°
With the nearest neighbours (Å) after each atom.
Positions (direct):
1 C 0.4013 0.4013 0.4013  1 C 1.51, 3 B 1.63
2 C 0.6083 0.6083 0.6083  1 C 1.51, 3 B 1.64
3 C 0.6523 0.6523 0.6523  4 C 1.51-1.57
4 C 0.0009 0.0009 0.0009  3 C 1.57, 1 B 1.62
5 C 0.4454 0.4454 0.4454  4 C 1.51-1.57
6 C 0.7942 0.7942 0.7942  3 C 1.57, 1 B 1.59
7 B 0.8407 0.8407 0.8407  1 C 1.59
8 B 0.0482 0.0482 0.0482  4 C 1.62-1.63
9 B 0.2046 0.2046 0.2046  4 B 1.70-1.81
10 B 0.2542 0.2542 0.2542  3 C 1.64, 1 B 1.70

Results
Space group ... R3m (160)



In order of decreasing stability: Q, P.



P | Computed, not measured: crystalline SrSN2 at its relaxed geometry at the PBE level of DFT.

Cell: 7.2289 7.2289 7.2289 Å, 24.43 24.43 24.43°
With the nearest neighbours (Å) after each atom.
Positions (direct):
1 S 0.5000 0.5000 0.5000  6 N 2.04
2 N 0.8818 0.8818 0.8818  3 S 2.04
3 N 0.1182 0.1182 0.1182  3 S 2.04
4 Sr 0.0000 0.0000 0.0000  2 N 2.48

Results
Space group ... R-3m (166)



Q | Computed, not measured: crystalline SrSN2 at its relaxed geometry at the PBE level of DFT.

Cell: 5.2003 5.2003 6.0426 Å, 64.51 64.51 90.00°
With the nearest neighbours (Å) after each atom.
Positions (direct):
1 N 0.2362 0.6250 0.2500  2 S 1.91
2 N 0.3750 0.4862 0.7500  2 S 1.91
3 N 0.5138 0.1250 0.2500  2 S 1.91
4 N 0.8750 0.7638 0.7500  2 S 1.91
5 Sr 0.0000 0.0000 0.0000  4 N 2.58
6 Sr 0.7500 0.2500 0.5000  4 N 2.58
7 S 0.2500 0.7500 0.5000  4 N 1.91
8 S 0.5000 0.5000 0.0000  4 N 1.91

Results
Space group ... I-42d (122)



In order of decreasing stability: Q, P.



P | Computed, not measured: crystalline NiBiP3 at its relaxed geometry at the PBE level of DFT.

Cell: 4.5308 4.5308 4.5308 Å, 90.00 90.00 90.00°
With the nearest neighbours (Å) after each atom.
Positions (direct):
1 P 0.0000 0.5000 0.0000  2 Ni 2.27
2 P 0.0000 0.0000 0.5000  2 Ni 2.27
3 P 0.5000 0.0000 0.0000  2 Ni 2.27
4 Ni 0.0000 0.0000 0.0000  6 P 2.27
5 Bi 0.5000 0.5000 0.5000  12 P 3.20

Results
Space group ... Pm-3m (221)



Q | Computed, not measured: crystalline NiBiP3 at its relaxed geometry at the PBE level of DFT.

Cell: 3.7042 4.0646 7.1361 Å, 99.68 99.70 106.36°
With the nearest neighbours (Å) after each atom.
Positions (direct):
1 P 0.0637 0.7060 0.0296  2 P 2.18-2.35, 1 Ni 2.29
2 P 0.5916 0.8596 0.8840  2 P 2.18-2.35, 2 Ni 2.22-2.27
3 P 0.0370 0.1386 0.5795  2 Ni 2.23-2.29
4 Ni 0.6419 0.3274 0.7562  5 P 2.22-2.29
5 Bi 0.6336 0.4645 0.3698  3 P 2.69-3.00, 1 Ni 2.90

Results
Space group ... P1 (1)



In order of decreasing stability: Q, P.



P | Computed, not measured: crystalline RbTlS2 at its relaxed geometry at the PBE level of DFT.

Cell: 5.4030 5.4030 5.4030 Å, 60.00 60.00 60.00°
With the nearest neighbours (Å) after each atom.
Positions (direct):
1 S 0.2500 0.2500 0.2500  4 Tl 3.31, 4 Rb 3.31
2 S 0.7500 0.7500 0.7500  4 Rb 3.31, 4 Tl 3.31
3 Tl 0.5000 0.5000 0.5000  8 S 3.31
4 Rb 0.0000 0.0000 0.0000  8 S 3.31

Results
Space group ... Fm-3m (225)



Q | Computed, not measured: crystalline RbTlS2 at its relaxed geometry at the PBE level of DFT.

Cell: 9.4529 7.9411 4.2949 Å, 74.16 103.13 120.03°
With the nearest neighbours (Å) after each atom.
Positions (direct):
1 Tl 0.5721 0.7217 0.4522  4 S 2.54-2.69
2 Tl 0.1873 0.4270 0.9088  4 S 3.04-3.22
3 S 0.9330 0.6059 0.6912  1 S 2.09
4 S 0.4790 0.8577 0.8370  2 Tl 2.69
5 S 0.8854 0.8478 0.5443  1 S 2.09
6 S 0.3838 0.3495 0.5458  1 Tl 2.54
7 Rb 0.1907 0.9239 0.1593  8 S 3.28-3.63
8 Rb 0.6618 0.3010 0.2097  5 S 3.29-3.67

Results
Space group ... P1 (1)



In order of decreasing stability: Q, P.



P | Computed, not measured: crystalline LiVZn at its relaxed geometry at the PBE level of DFT.

Cell: 2.8294 4.6354 6.7028 Å, 90.00 101.78 90.00°
With the nearest neighbours (Å) after each atom.
Positions (direct):
1 V 0.3376 0.5000 0.0932  2 V 2.33-2.36
2 V 0.9845 0.5000 0.3791  2 V 2.33-2.36
3 Li 0.5187 0.0000 0.4569  2 Zn 2.50-2.52, 2 Li 2.65-2.67, 4 V 2.76-2.77
4 Li 0.1913 0.0000 0.8002  6 Zn 2.64-2.76, 4 Li 2.65-2.83
5 Zn 0.6586 0.5000 0.7305  4 V 2.70-2.77, 6 Li 2.75-2.93, 2 Zn 2.83
6 Zn 0.8613 0.0000 0.1410  4 Li 2.50-2.65, 6 V 2.73-2.79

Results
Space group ... Pm (6)



Q | Computed, not measured: crystalline LiVZn at its relaxed geometry at the PBE level of DFT.

Cell: 4.4709 4.2002 6.0188 Å, 78.60 68.20 57.84°
With the nearest neighbours (Å) after each atom.
Positions (direct):
1 V 0.1585 0.6831 0.0000  1 V 2.25
2 V 0.8415 0.3169 0.0000  1 V 2.25
3 Zn 0.6102 0.0000 0.7795  1 Zn 2.46, 4 Li 2.62, 2 V 2.72
4 Zn 0.3898 0.0000 0.2205  1 Zn 2.46, 4 Li 2.62, 2 V 2.72
5 Li 0.7500 0.5000 0.5000  2 Li 2.24
6 Li 0.2500 0.5000 0.5000  2 Li 2.24

Results
Space group ... Fmmm (69)



In order of decreasing stability: P, Q.